# 1
LaCd2HPd | PBE-GGA | optimized geometry

Results
space group	P4/mmm, No. 123
Fermi-level density of states	0.745	states/eV per atom
crystal system	tetragonal
raw total energy	-12.26	eV/cell

a = 5.974 Å, b = 4.039 Å, c = 5.974 Å
α = 90.00°, β = 90.00°, γ = 90.00°
Fractional coordinates of all 5 atoms:
H: 0.000 0.500 0.000
Cd: 0.000 0.000 0.500
Cd: 0.500 0.000 0.000
Pd: 0.500 0.500 0.500
La: 0.000 0.000 0.000

# 2
La2Tb2Sm4Dy | PBE-GGA | optimized geometry

Results
space group	C2/m, No. 12
Fermi-level density of states	1.392	states/eV per atom
crystal system	monoclinic
ΔE_f	0	kJ per mole of atoms

a = 3.668 Å, b = 9.673 Å, c = 9.721 Å
α = 115.18°, β = 90.00°, γ = 100.93°
Fractional coordinates of all 9 atoms:
La: 0.335 0.669 0.001
La: 0.665 0.331 0.999
Tb: 0.853 0.706 0.335
Tb: 0.147 0.294 0.665
Sm: 0.814 0.628 0.665
Sm: 0.186 0.372 0.335
Sm: 0.519 0.038 0.335
Sm: 0.481 0.962 0.665
Dy: 0.000 0.000 0.000

Calculated values (μB/f.u.) of magnetization for the records, taken in order: 0.00 0.00.